# BaAcSiBr | the Alexandria database | PBE | relaxed
data_BaAcSiBr
_symmetry_space_group_name_H-M 'F -4 3 m'
_symmetry_Int_Tables_number 216
_symmetry_space_group_name_Hall 'F -4 2 3'
_cell_length_a 7.9918
_cell_length_b 7.9918
_cell_length_c 7.9918
_cell_angle_alpha 90.00
_cell_angle_beta 90.00
_cell_angle_gamma 90.00
loop_
_atom_site_label
_atom_site_type_symbol
_atom_site_fract_x
_atom_site_fract_y
_atom_site_fract_z
Ba1 Ba 0.0000 0.0000 0.0000
Ac1 Ac 0.0000 0.0000 0.5000
Si1 Si 0.2500 0.2500 0.7500
Br1 Br 0.2500 0.2500 0.2500
# - VASP energy: -4.122 eV per atom
# - Theoretical density: 6.146 Mg/m³
# - Energy relative to the elements, uncorrected: -0.840 eV/atom